[1]
Here is a relaxed structure of AcPmCl2 from the Alexandria database. Energies are from PBE-GGA.

Cell: 10.2834 10.2834 10.2834 Å, 21.00 21.00 21.00°
Element x y z (fractional)
Ac (0.0000, 0.0000, 0.0000)
Pm (0.5000, 0.5000, 0.5000)
Cl (0.1012, 0.1012, 0.1012)
Cl (0.8988, 0.8988, 0.8988)

Computed properties:
Energy relative to the elements, uncorrected = -1.32 eV per atom
Mass density = 6.0 g cm⁻³

---

[2]
Here is a relaxed structure of AcPmCl6 from the Alexandria database. Energies are from PBE-GGA.

Cell: 7.6960 7.6960 7.6960 Å, 54.43 54.43 54.43°
Element x y z (fractional)
Ac (0.0000, 0.0000, 0.0000)
Pm (0.5000, 0.5000, 0.5000)
Cl (0.1072, 0.4102, 0.7398)
Cl (0.2602, 0.8928, 0.5898)
Cl (0.4102, 0.7398, 0.1072)
Cl (0.5898, 0.2602, 0.8928)
Cl (0.7398, 0.1072, 0.4102)
Cl (0.8928, 0.5898, 0.2602)

Computed properties:
Energy relative to the elements, uncorrected = -2.32 eV per atom
Mass density = 3.5 g cm⁻³

---

[3]
Here is a relaxed structure of Ac2PmCl8 from the Alexandria database. Energies are from PBE-GGA.

Cell: 9.6831 9.6831 7.1124 Å, 107.75 107.75 27.86°
Element x y z (fractional)
Ac (0.1761, 0.1761, 0.1838)
Ac (0.8239, 0.8239, 0.8162)
Pm (0.5000, 0.5000, 0.5000)
Cl (0.0364, 0.0364, 0.3026)
Cl (0.2167, 0.2167, 0.8163)
Cl (0.3287, 0.3287, 0.5348)
Cl (0.4071, 0.4071, 0.0671)
Cl (0.5929, 0.5929, 0.9329)
Cl (0.6713, 0.6713, 0.4652)
Cl (0.7833, 0.7833, 0.1837)
Cl (0.9636, 0.9636, 0.6974)

Computed properties:
Energy relative to the elements, uncorrected = -2.23 eV per atom
Mass density = 5.0 g cm⁻³

---

[4]
Here is a relaxed structure of Ac3PmCl from the Alexandria database. Energies are from PBE-GGA.

Cell: 5.8363 5.8363 5.8363 Å, 90.00 90.00 90.00°
Element x y z (fractional)
Ac (0.0000, 0.0000, 0.5000)
Ac (0.0000, 0.5000, 0.0000)
Ac (0.5000, 0.0000, 0.0000)
Pm (0.5000, 0.5000, 0.5000)
Cl (0.0000, 0.0000, 0.0000)

Computed properties:
Energy relative to the elements, uncorrected = -0.48 eV per atom
Mass density = 7.2 g cm⁻³

---

[5]
Here is a relaxed structure of AcPmCl4 from the Alexandria database. Energies are from PBE-GGA.

Cell: 9.1021 9.1021 7.0398 Å, 104.88 104.88 126.64°
Element x y z (fractional)
Ac (0.0707, 0.9293, 0.7500)
Ac (0.9293, 0.0707, 0.2500)
Pm (0.4428, 0.5572, 0.2500)
Pm (0.5572, 0.4428, 0.7500)
Cl (0.0930, 0.4559, 0.2613)
Cl (0.1880, 0.3301, 0.7627)
Cl (0.3301, 0.1880, 0.2627)
Cl (0.4559, 0.0930, 0.7613)
Cl (0.5441, 0.9070, 0.2387)
Cl (0.6699, 0.8120, 0.7373)
Cl (0.8120, 0.6699, 0.2373)
Cl (0.9070, 0.5441, 0.7387)

Computed properties:
Energy relative to the elements, uncorrected = -1.92 eV per atom
Mass density = 4.4 g cm⁻³

---

[6]
Here is a relaxed structure of AcPm3Cl from the Alexandria database. Energies are from PBE-GGA.

Cell: 5.5298 5.5298 5.5298 Å, 90.00 90.00 90.00°
Element x y z (fractional)
Ac (0.0000, 0.0000, 0.0000)
Pm (0.0000, 0.5000, 0.5000)
Pm (0.5000, 0.0000, 0.5000)
Pm (0.5000, 0.5000, 0.0000)
Cl (0.5000, 0.5000, 0.5000)

Computed properties:
Energy relative to the elements, uncorrected = -0.52 eV per atom
Mass density = 6.8 g cm⁻³

---

[7]
Here is a relaxed structure of AcPmRhCl from the Alexandria database. Energies are from PBE-GGA.

Cell: 8.2681 8.2681 8.2681 Å, 29.18 29.18 29.18°
Element x y z (fractional)
Ac (0.0000, 0.0000, 0.0000)
Pm (0.8002, 0.8002, 0.8002)
Rh (0.4031, 0.4031, 0.4031)
Cl (0.2229, 0.2229, 0.2229)

Computed properties:
Energy relative to the elements, uncorrected = -1.20 eV per atom
Mass density = 7.1 g cm⁻³

---

[8]
Here is a relaxed structure of AcPmSbCl from the Alexandria database. Energies are from PBE-GGA.

Cell: 5.4750 5.4750 5.4750 Å, 60.00 60.00 60.00°
Element x y z (fractional)
Ac (0.0000, 0.0000, 0.0000)
Pm (0.5000, 0.5000, 0.5000)
Sb (0.2500, 0.2500, 0.2500)
Cl (0.7500, 0.7500, 0.7500)

Computed properties:
Energy relative to the elements, uncorrected = -1.20 eV per atom
Mass density = 7.6 g cm⁻³

---

[9]
Here is a relaxed structure of AcPmSe2Cl from the Alexandria database. Energies are from PBE-GGA.

Cell: 4.3550 4.3550 14.4078 Å, 90.00 90.00 90.00°
Element x y z (fractional)
Ac (0.2500, 0.2500, 0.0988)
Ac (0.7500, 0.7500, 0.9012)
Pm (0.2500, 0.2500, 0.6402)
Pm (0.7500, 0.7500, 0.3598)
Se (0.2500, 0.2500, 0.3110)
Se (0.2500, 0.2500, 0.8688)
Se (0.7500, 0.7500, 0.1312)
Se (0.7500, 0.7500, 0.6890)
Cl (0.2500, 0.7500, 0.5000)
Cl (0.7500, 0.2500, 0.5000)

Computed properties:
Energy relative to the elements, uncorrected = -1.89 eV per atom
Mass density = 6.9 g cm⁻³

---

[10]
Here is a relaxed structure of AcPmSeCl from the Alexandria database. Energies are from PBE-GGA.

Cell: 5.2566 5.2566 5.2566 Å, 60.00 60.00 60.00°
Element x y z (fractional)
Ac (0.0000, 0.0000, 0.0000)
Pm (0.5000, 0.5000, 0.5000)
Se (0.2500, 0.2500, 0.2500)
Cl (0.7500, 0.7500, 0.7500)

Computed properties:
Energy relative to the elements, uncorrected = -1.40 eV per atom
Mass density = 7.9 g cm⁻³

---

[11]
Here is a relaxed structure of AcPmSnCl from the Alexandria database. Energies are from PBE-GGA.

Cell: 5.5093 5.5093 5.5093 Å, 60.00 60.00 60.00°
Element x y z (fractional)
Ac (0.0000, 0.0000, 0.0000)
Pm (0.5000, 0.5000, 0.5000)
Sn (0.2500, 0.2500, 0.2500)
Cl (0.7500, 0.7500, 0.7500)

Computed properties:
Energy relative to the elements, uncorrected = -1.02 eV per atom
Mass density = 7.4 g cm⁻³

---

[12]
Here is a relaxed structure of AcPrCl from the Alexandria database. Energies are from PBE-GGA.

Cell: 3.9536 3.9536 7.7167 Å, 90.00 90.00 120.00°
Element x y z (fractional)
Ac (0.0000, 0.0000, 0.0000)
Pr (0.6667, 0.3333, 0.3928)
Cl (0.3333, 0.6667, 0.6678)

Computed properties:
Energy relative to the elements, uncorrected = -0.88 eV per atom
Mass density = 6.4 g cm⁻³